1.
VASP calculation (PBE) on an optimized crystal structure of CaFePt.

Cell: 6.458 6.458 6.458 Å, 90.00 90.00 90.00°
Space group F-43m (No. 216)
Symmetry-distinct sites (fractional):
Ca  0.000  0.000  0.000 (multiplicity 4)
Fe  0.250  0.250  0.750 (multiplicity 4)
Pt  0.250  0.250  0.250 (multiplicity 4)

Calculated volume ... 22.4 A^3/atom
DFT total energy ... -0.1772 hartree per atom
Density of states at the Fermi level ... 17.2 states/eV/cell

---

2.
VASP calculation (PBE) on an optimized crystal structure of CaFePt.

Cell: 4.1314 4.1314 4.2599 Å, 90.00 90.00 120.00°
Space group P-6m2 (No. 187)
Symmetry-distinct sites (fractional):
Ca  0.0000  0.0000  0.0000 (multiplicity 1)
Fe  0.6667  0.3333  0.5000 (multiplicity 1)
Pt  0.3333  0.6667  0.5000 (multiplicity 1)

Calculated volume ... 21.0 A^3/atom
DFT total energy ... -0.2126 hartree per atom
Density of states at the Fermi level ... 2.3 states/eV/cell

---

3.
VASP calculation (PBE) on an optimized crystal structure of CaFe3Pt.

Cell: 4.385 4.385 4.385 Å, 90.00 90.00 90.00°
Space group Pm-3m (No. 221)
Symmetry-distinct sites (fractional):
Ca  0.000  0.000  0.000 (multiplicity 1)
Fe  0.000  0.000  0.500 (multiplicity 3)
Pt  0.500  0.500  0.500 (multiplicity 1)

Calculated volume ... 16.9 A^3/atom
DFT total energy ... -0.1775 hartree per atom
Density of states at the Fermi level ... 7.6 states/eV/cell

---

4.
VASP calculation (PBE) on an optimized crystal structure of CaFePt.

Cell: 3.433 3.433 10.330 Å, 90.00 90.00 90.00°
Space group I4mm (No. 107)
Symmetry-distinct sites (fractional):
Ca  0.000  0.000  0.000 (multiplicity 2)
Fe  0.000  0.000  0.720 (multiplicity 2)
Pt  0.000  0.000  0.294 (multiplicity 2)

Calculated volume ... 20.3 A^3/atom
DFT total energy ... -0.2079 hartree per atom
Density of states at the Fermi level ... 5.7 states/eV/cell